[1]
Mg12Tl6Hg after structural relaxation. Source: Alexandria, functional PBE.

```
Mg12Tl6Hg
1.0
5.637 3.254 4.298
-5.637 3.254 4.298
0.000 -6.509 4.298
Mg Tl Hg
12 6 1
Direct
0.034 0.297 0.939
0.061 0.966 0.703
0.142 0.355 0.473
0.297 0.939 0.034
0.355 0.473 0.142
0.473 0.142 0.355
0.527 0.858 0.645
0.645 0.527 0.858
0.703 0.061 0.966
0.858 0.645 0.527
0.939 0.034 0.297
0.966 0.703 0.061
0.206 0.618 0.785
0.215 0.794 0.382
0.382 0.215 0.794
0.618 0.785 0.206
0.785 0.206 0.618
0.794 0.382 0.215
0.500 0.500 0.500
```

Output
Raw total energy (eV per cell): -33.318
Formation energy from the elements (meV/atom): 17

[2]
Mg7Tl2Hg2 after structural relaxation. Source: Alexandria, functional PBE.

```
Mg7Tl2Hg2
1.0
-2.313 6.974 3.974
2.313 -6.974 3.974
2.313 6.974 -3.974
Mg Tl Hg
7 2 2
Direct
0.000 0.000 0.000
0.111 0.442 0.670
0.212 0.860 0.352
0.508 0.860 0.648
0.525 0.674 0.850
0.772 0.442 0.330
0.824 0.674 0.150
0.383 0.383 0.000
0.702 0.202 0.500
0.347 0.142 0.206
0.936 0.142 0.794
```

Output
Raw total energy (eV per cell): -17.519
Formation energy from the elements (meV/atom): -93